1.
KBaLa2P | PBE-GGA | optimized geometry

```
KBaLa2P
1.0
-4.4467 1.9744 -2.4757
-1.6713 -5.3363 -1.2539
-2.7373 -0.2509 4.7165
Ba La K P
1 2 1 1
direct
0.0000 0.5000 0.0000
0.0000 0.0000 0.5000
0.5000 0.0000 0.0000
0.0000 0.0000 0.0000
0.5000 0.5000 0.5000
```

- theoretical density (g/cm³) = 4.72
- V (A^3/atom) = 34.16
- symmetry = No. 123
- formation energy from the elements (kcal/mol of atoms) = 24.390
- D(E_F) (states/eV/cell) = 3.79

2.
Sc3BiB | PBE-GGA | optimized geometry

```
Sc3BiB
1.0
4.7556 0.0000 0.1067
0.0000 7.0450 0.0000
-2.4848 0.0000 6.8458
Bi Sc B
2 6 2
direct
0.7020 0.2500 0.9114
0.2980 0.7500 0.0886
0.1141 0.0156 0.7323
0.8859 0.5156 0.2677
0.4915 0.2500 0.4819
0.8859 0.9844 0.2677
0.1141 0.4844 0.7323
0.5085 0.7500 0.5181
0.9891 0.2500 0.4767
0.0109 0.7500 0.5233
```

- theoretical density (g/cm³) = 5.09
- V (A^3/atom) = 23.12
- symmetry = No. 11
- formation energy from the elements (kcal/mol of atoms) = -8.815
- energy relative to the lowest polymorph listed for this composition (meV per atom) = 184.1
- D(E_F) (states/eV/cell) = 4.31

3.
Tl2ZnPb | PBE-GGA | optimized geometry

```
Tl2ZnPb
1.0
-4.0103 -1.4423 -2.8381
-0.8559 -2.3175 2.3871
-4.1006 3.1617 4.1874
Tl Pb Zn
2 1 1
direct
0.5000 0.3063 0.2838
0.0000 0.9495 0.9898
0.5000 0.5768 0.7457
0.0000 0.6674 0.4808
```

- theoretical density (g/cm³) = 10.03
- V (A^3/atom) = 28.20
- symmetry = No. 6
- formation energy from the elements (kcal/mol of atoms) = 2.569
- energy relative to the lowest polymorph listed for this composition (meV per atom) = 27.7
- D(E_F) (states/eV/cell) = 1.71

4.
SmVPd2 | PBE-GGA | optimized geometry

```
SmVPd2
1.0
3.6400 0.0000 0.0000
0.0000 4.5770 0.0000
0.0000 0.0000 4.5770
Sm Pd V
1 2 1
direct
0.5000 0.5000 0.5000
0.0000 0.5000 0.0000
0.0000 0.0000 0.5000
0.5000 0.0000 0.0000
```

- theoretical density (g/cm³) = 9.02
- V (A^3/atom) = 19.06
- symmetry = No. 123
- formation energy from the elements (kcal/mol of atoms) = -7.273
- D(E_F) (states/eV/cell) = 4.52

5.
Mn2CoIr | PBE-GGA | optimized geometry

```
Mn2CoIr
1.0
4.9250 -0.0020 -0.0017
2.2801 4.3654 0.0017
-3.1450 -2.9373 2.3952
Mn Ir Co
2 1 1
direct
0.0005 0.0005 0.0000
0.2548 0.7548 0.5000
0.7501 0.2501 0.5000
0.4946 0.4946 0.0000
```

- theoretical density (g/cm³) = 11.64
- V (A^3/atom) = 12.88
- symmetry = No. 44
- formation energy from the elements (kcal/mol of atoms) = 0.537
- D(E_F) (states/eV/cell) = 3.89

6.
MgTcSn2 | PBE-GGA | optimized geometry

```
MgTcSn2
1.0
-2.0570 -2.6895 0.0146
1.7885 -1.3816 -2.5214
4.2633 -3.2347 4.7965
Tc Sn Mg
1 2 1
direct
0.5000 0.5000 0.0000
0.0000 0.0000 0.2134
0.0000 0.0000 0.7866
0.5000 0.5000 0.5000
```

- theoretical density (g/cm³) = 7.25
- V (A^3/atom) = 20.60
- symmetry = No. 123
- formation energy from the elements (kcal/mol of atoms) = 1.564
- D(E_F) (states/eV/cell) = 2.22

7.
Ce5ErGe5 | PBE-GGA | optimized geometry

```
Ce5ErGe5
1.0
5.9241 0.0000 0.0000
-2.9621 6.6108 -0.0618
0.0000 -2.5448 7.9351
Ge Er Ce
5 1 5
direct
0.5000 0.0000 0.0000
0.1666 0.3331 0.3355
0.1677 0.3354 0.8312
0.8334 0.6669 0.6645
0.8323 0.6646 0.1688
0.0000 0.0000 0.0000
0.6655 0.3311 0.8331
0.3354 0.6709 0.6668
0.6646 0.3291 0.3332
0.0000 0.0000 0.5000
0.3345 0.6689 0.1669
```

- theoretical density (g/cm³) = 6.60
- V (A^3/atom) = 28.17
- symmetry = No. 12
- formation energy from the elements (kcal/mol of atoms) = -12.720
- D(E_F) (states/eV/cell) = 18.54

8.
Ce2HoGa | PBE-GGA | optimized geometry

```
Ce2HoGa
1.0
-2.7870 -1.2258 1.0226
-0.2372 -3.1397 0.6340
2.1271 0.5086 11.4504
Ce Ga Ho
2 1 1
direct
0.0926 0.0926 0.7222
0.9074 0.9074 0.2778
0.5000 0.5000 0.5000
0.0000 0.0000 0.0000
```

- theoretical density (g/cm³) = 8.32
- V (A^3/atom) = 25.70
- symmetry = No. 166
- formation energy from the elements (kcal/mol of atoms) = 0.938
- energy relative to the lowest polymorph listed for this composition (meV per atom) = 327.4
- D(E_F) (states/eV/cell) = 8.86

9.
TaCrN2 | PBE-GGA | optimized geometry

```
TaCrN2
1.0
4.6023 0.0000 0.0000
0.0000 4.6023 0.0000
2.3012 2.3012 4.6554
Cr N Ta
2 4 2
direct
0.2500 0.7500 0.5000
0.5000 0.5000 0.0000
0.6192 0.1250 0.2500
0.8750 0.8692 0.7500
0.3750 0.3808 0.7500
0.1308 0.6250 0.2500
0.0000 0.0000 0.0000
0.7500 0.2500 0.5000
```

- theoretical density (g/cm³) = 8.79
- E_form (uncorrected) (eV/atom) = -0.63
- V (A^3/atom) = 12.33
- symmetry = No. 122
- energy relative to the lowest polymorph listed for this composition (meV per atom) = 0.0
- D(E_F) (states/eV/cell) = 4.28

10.
AcPm2SmDy | PBE-GGA | optimized geometry

```
AcPm2SmDy
1.0
-6.4402 -3.5261 0.3995
0.9445 -0.7839 8.3064
-3.3432 5.7296 -3.3231
Sm Pm Dy Ac
2 4 2 2
direct
0.2500 0.0545 0.1090
0.7500 0.9455 0.8910
0.5000 0.3051 0.0000
0.0000 0.3051 0.0000
0.0000 0.6949 0.0000
0.5000 0.6949 0.0000
0.7500 0.6947 0.3893
0.2500 0.3053 0.6107
0.2500 0.7574 0.5148
0.7500 0.2426 0.4852
```

- theoretical density (g/cm³) = 7.30
- V (A^3/atom) = 37.77
- symmetry = No. 63
- formation energy from the elements (kcal/mol of atoms) = 7.925
- D(E_F) (states/eV/cell) = 13.57

11.
RbMnSiI2 | PBE-GGA | optimized geometry

```
RbMnSiI2
1.0
-3.0387 -2.8510 4.6264
-1.2333 -3.5161 -2.9769
5.1903 -3.0931 1.5030
I Rb Mn Si
2 1 1 1
direct
0.5000 0.0000 0.0000
0.0000 0.0000 0.5000
0.5000 0.5000 0.5000
0.0000 0.5000 0.0000
0.0000 0.0000 0.0000
```

- theoretical density (g/cm³) = 3.79
- E_form (uncorrected) (eV/atom) = -0.12
- V (A^3/atom) = 36.98
- symmetry = No. 123
- D(E_F) (states/eV/cell) = 1.78

12.
K3Pu2Te6Au | PBE-GGA | optimized geometry

```
K3Pu2Te6Au
1.0
7.6862 0.1916 -0.0384
-3.6752 6.7533 -0.0384
-1.3829 -2.3945 8.2260
Te K Au Pu
6 3 1 2
direct
0.0684 0.3782 0.1923
0.9316 0.6218 0.8077
0.6218 0.9316 0.8077
0.2824 0.2824 0.7764
0.3782 0.0684 0.1923
0.7176 0.7176 0.2236
0.8310 0.1690 0.5000
0.1690 0.8310 0.5000
0.5000 0.5000 0.5000
0.0000 0.0000 0.0000
0.3341 0.6659 0.0000
0.6659 0.3341 0.0000
```

- theoretical density (g/cm³) = 6.04
- E_form (uncorrected) (eV/atom) = -0.81
- V (A^3/atom) = 35.95
- symmetry = No. 12
- D(E_F) (states/eV/cell) = 25.17

13.
TlInTe2Au | PBE-GGA | optimized geometry

```
TlInTe2Au
1.0
-4.4599 1.9288 1.9210
0.8677 -4.6842 6.7178
3.6197 7.5223 0.8507
In Te Tl Au
2 4 2 2
direct
0.3612 0.0000 0.2500
0.6388 0.0000 0.7500
0.6979 0.2597 0.4998
0.6979 0.7403 0.0002
0.3021 0.7403 0.5002
0.3021 0.2597 0.9998
0.1939 0.5000 0.7500
0.8061 0.5000 0.2500
0.0000 0.0000 0.0000
0.0000 0.0000 0.5000
```

- theoretical density (g/cm³) = 7.68
- E_form (uncorrected) (eV/atom) = -0.23
- V (A^3/atom) = 33.37
- symmetry = No. 13
- D(E_F) (states/eV/cell) = 1.67

14.
Pr2BePd6Pb | PBE-GGA | optimized geometry

```
Pr2BePd6Pb
1.0
5.9594 -0.0017 0.0142
-0.0476 7.5610 -1.1501
2.9748 2.9963 4.2186
Be Pd Pb Pr
1 6 1 2
direct
0.5000 0.5000 0.0000
0.2644 0.3285 0.9402
0.2152 0.6783 0.0548
0.2636 0.3264 0.4652
0.7364 0.6736 0.5348
0.7848 0.3217 0.9452
0.7356 0.6715 0.0598
0.0000 0.0000 0.0000
0.7468 0.2517 0.4993
0.2532 0.7483 0.5007
```

- theoretical density (g/cm³) = 8.97
- V (A^3/atom) = 21.03
- symmetry = No. 2
- formation energy from the elements (kcal/mol of atoms) = -12.394
- D(E_F) (states/eV/cell) = 5.72

15.
BaTaOs2 | PBE-GGA | optimized geometry

```
BaTaOs2
1.0
9.5550 -0.0121 -0.0071
9.0278 3.1300 -0.0071
9.0278 1.5147 2.7391
Os Ta Ba
2 1 1
direct
0.5165 0.5165 0.5165
0.9835 0.9835 0.9835
0.2500 0.2500 0.2500
0.7500 0.7500 0.7500
```

- theoretical density (g/cm³) = 14.08
- V (A^3/atom) = 20.61
- symmetry = No. 166
- formation energy from the elements (kcal/mol of atoms) = 16.476
- energy relative to the lowest polymorph listed for this composition (meV per atom) = 360.9
- D(E_F) (states/eV/cell) = 4.60

16.
ScBiTe2 | PBE-GGA | optimized geometry

```
ScBiTe2
1.0
-3.4756 3.3686 -6.5758
-7.1264 -3.4463 2.0013
-6.2016 3.0053 -0.2519
Sc Te Bi
2 4 2
direct
0.2500 0.7500 0.5000
0.5000 0.5000 0.0000
0.8750 0.8463 0.7500
0.1537 0.6250 0.2500
0.5963 0.1250 0.2500
0.3750 0.4037 0.7500
0.0000 0.0000 0.0000
0.7500 0.2500 0.5000
```

- theoretical density (g/cm³) = 6.73
- E_form (uncorrected) (eV/atom) = -0.40
- V (A^3/atom) = 31.43
- symmetry = No. 122
- D(E_F) (states/eV/cell) = 2.38

17.
LaPm6Sc | PBE-GGA | optimized geometry

```
LaPm6Sc
1.0
5.5956 -0.3322 1.5508
1.4053 5.4264 1.5508
-0.5545 -0.4035 9.2535
Pm La Sc
6 1 1
direct
0.4550 0.9419 0.7101
0.9419 0.4550 0.7101
0.0581 0.5450 0.2899
0.6330 0.6330 0.0749
0.5450 0.0581 0.2899
0.3670 0.3670 0.9251
0.5000 0.5000 0.5000
0.0000 0.0000 0.0000
```

- theoretical density (g/cm³) = 5.98
- V (A^3/atom) = 36.61
- symmetry = No. 12
- formation energy from the elements (kcal/mol of atoms) = 8.609
- energy relative to the lowest polymorph listed for this composition (meV per atom) = 336.0
- D(E_F) (states/eV/cell) = 14.46

18.
ReSb3 | PBE-GGA | optimized geometry

```
ReSb3
1.0
-5.8053 0.5881 -3.6052
-5.6392 -3.7305 1.1516
4.7567 4.5611 1.9010
Sb Re
3 1
direct
0.3084 0.6557 0.6526
0.5704 0.5000 0.0704
0.9969 0.3443 0.6526
0.9577 0.0000 0.9577
```

- theoretical density (g/cm³) = 8.33
- E_form (uncorrected) (eV/atom) = 0.40
- V (A^3/atom) = 27.49
- symmetry = No. 44
- energy relative to the lowest polymorph listed for this composition (meV per atom) = 93.0
- D(E_F) (states/eV/cell) = 3.15

19.
Ba2DyMgSe5 | PBE-GGA | optimized geometry

```
Ba2DyMgSe5
1.0
-1.4056 4.0168 -1.0978
-7.8482 -5.4007 -0.9147
-3.1170 2.3792 12.6961
Se Mg Ba Dy
10 2 4 2
direct
0.2899 0.5798 0.6564
0.3113 0.6226 0.3720
0.3592 0.7183 0.0040
0.6408 0.2817 0.5040
0.6887 0.3774 0.8720
0.4959 0.9919 0.7763
0.0546 0.1093 0.0515
0.5041 0.0081 0.2763
0.9454 0.8907 0.5515
0.7101 0.4202 0.1564
0.5530 0.1061 0.9498
0.4470 0.8939 0.4498
0.8701 0.7403 0.8129
0.1299 0.2597 0.3129
0.8894 0.7787 0.1863
0.1106 0.2213 0.6863
0.2091 0.4182 0.0146
0.7909 0.5818 0.5146
```

- theoretical density (g/cm³) = 5.23
- E_form (uncorrected) (eV/atom) = -1.65
- V (A^3/atom) = 30.22
- symmetry = No. 36
- D(E_F) (states/eV/cell) = 16.05

20.
AlCu3Sb | PBE-GGA | optimized geometry

```
AlCu3Sb
1.0
4.5387 0.0000 0.0000
0.0000 4.5387 0.0000
0.0000 0.0000 4.5387
Sb Cu Al
1 3 1
direct
0.5000 0.5000 0.5000
0.5000 0.0000 0.0000
0.0000 0.5000 0.0000
0.0000 0.0000 0.5000
0.0000 0.0000 0.0000
```

- theoretical density (g/cm³) = 6.03
- E_form (uncorrected) (eV/atom) = 0.57
- V (A^3/atom) = 18.70
- symmetry = No. 221
- energy relative to the lowest polymorph listed for this composition (meV per atom) = 0.0
- D(E_F) (states/eV/cell) = 1.74

21.
TlGaI2Cl | PBE-GGA | optimized geometry

```
TlGaI2Cl
1.0
5.8812 0.0000 0.0000
0.0000 5.8812 0.0000
0.0000 0.0000 5.0293
Tl I Ga Cl
1 2 1 1
direct
0.5000 0.5000 0.5000
0.5000 0.0000 0.0000
0.0000 0.5000 0.0000
0.0000 0.0000 0.0000
0.0000 0.0000 0.5000
```

- theoretical density (g/cm³) = 5.38
- E_form (uncorrected) (eV/atom) = -0.59
- V (A^3/atom) = 34.79
- symmetry = No. 123
- D(E_F) (states/eV/cell) = 1.54

22.
KCa2TbCl8 | PBE-GGA | optimized geometry

```
KCa2TbCl8
1.0
6.6378 -0.0020 -0.0043
0.0443 6.3861 -0.0071
0.0058 0.0098 8.6586
Cl K Tb Ca
8 1 1 2
direct
0.8274 0.2329 0.2166
0.3624 0.2802 0.5000
0.6787 0.7320 0.0000
0.1726 0.7671 0.7834
0.3213 0.2680 0.0000
0.6376 0.7198 0.5000
0.1726 0.7670 0.2166
0.8274 0.2330 0.7834
0.0000 0.0000 0.5000
0.0000 0.0000 0.0000
0.5000 0.5000 0.7469
0.5000 0.5000 0.2531
```

- theoretical density (g/cm³) = 2.54
- E_form (uncorrected) (eV/atom) = -2.27
- V (A^3/atom) = 30.59
- symmetry = No. 10
- D(E_F) (states/eV/cell) = 0.00

23.
AlZn2Ni | PBE-GGA | optimized geometry

```
AlZn2Ni
1.0
-2.7578 2.5756 2.6091
-0.6282 -2.1382 1.4468
3.3937 0.7546 2.8422
Zn Ni Al
2 1 1
direct
0.0000 0.5115 0.5078
0.0000 0.9885 0.9922
0.5000 0.7500 0.7500
0.5000 0.2500 0.2500
```

- theoretical density (g/cm³) = 6.57
- V (A^3/atom) = 13.68
- symmetry = No. 10
- formation energy from the elements (kcal/mol of atoms) = -3.445
- D(E_F) (states/eV/cell) = 1.30

24.
Cs2HPb | PBE-GGA | optimized geometry

```
Cs2HPb
1.0
8.7839 0.0000 0.0000
0.0000 8.7839 0.0000
4.3919 4.3919 4.8786
H Cs Pb
2 4 2
direct
0.2500 0.7500 0.5000
0.5000 0.5000 0.0000
0.3750 0.4807 0.7500
0.8750 0.7693 0.7500
0.2307 0.6250 0.2500
0.5193 0.1250 0.2500
0.0000 0.0000 0.0000
0.7500 0.2500 0.5000
```

- theoretical density (g/cm³) = 4.18
- V (A^3/atom) = 47.05
- symmetry = No. 122
- energy relative to the lowest polymorph listed for this composition (meV per atom) = 51.6
- D(E_F) (states/eV/cell) = 10.05

25.
PmZnHg | PBE-GGA | optimized geometry

```
PmZnHg
1.0
3.6423 0.0000 0.0000
0.0000 4.7426 0.0000
0.0000 -2.3713 4.1072
Zn Hg Pm
1 1 1
direct
0.1666 0.6667 0.3333
0.1667 0.0000 0.0000
0.6667 0.3333 0.6667
```

- theoretical density (g/cm³) = 9.62
- V (A^3/atom) = 23.65
- symmetry = No. 187
- formation energy from the elements (kcal/mol of atoms) = -9.290
- energy relative to the lowest polymorph listed for this composition (meV per atom) = 1.1
- D(E_F) (states/eV/cell) = 3.17

26.
NaCoN3 | PBE-GGA | optimized geometry

```
NaCoN3
1.0
-3.2233 -2.1914 -0.0867
1.0082 -1.3438 -3.5181
1.9476 -2.9311 1.6777
N Co Na
3 1 1
direct
0.5000 0.0000 0.0000
0.0000 0.5000 0.0000
0.0000 0.0000 0.5000
0.5000 0.5000 0.5000
0.0000 0.0000 0.0000
```

- theoretical density (g/cm³) = 3.47
- E_form (uncorrected) (eV/atom) = 3.35
- V (A^3/atom) = 11.85
- symmetry = No. 221
- D(E_F) (states/eV/cell) = 10.08